Here is a geometry-optimized Dy4Te2AsSe structure from the Alexandria database. Energies are from GGA-PBE.

Cell lengths 4.1914, 7.4646, 7.2402 Å; angles 71.07, 90.00, 90.00 degrees
Closest atoms and distances in Å follow each position.
Element x y z (fractional)
1 Dy 0.0000 0.7158 0.7567  1 As 2.83, 2 Se 2.87, 3 Te 3.13-3.17
2 Dy 0.0000 0.2842 0.2433  1 As 2.83, 2 Se 2.87, 3 Te 3.13-3.17
3 Dy 0.5000 0.7156 0.2666  2 As 2.84, 1 Se 2.89, 3 Te 3.11-3.16
4 Dy 0.5000 0.2844 0.7334  2 As 2.84, 1 Se 2.89, 3 Te 3.11-3.16
5 Te 0.0000 0.0000 0.0000  6 Dy 3.16-3.17
6 Te 0.5000 0.0000 0.5000  6 Dy 3.11-3.13
7 As 0.0000 0.5000 0.5000  6 Dy 2.83-2.84
8 Se 0.5000 0.5000 0.0000  6 Dy 2.87-2.89

Summary:
SG: P2/m (10)
E_form (uncorrected) in kcal/mol of atoms: -35.11
DOS at the Fermi energy in states/eV per cell: 2.88
Final energy in eV per cell: -45.0

Here is a geometry-optimized Cs3YIr structure from the Alexandria database. Energies are from GGA-PBE.

Cell lengths 6.8322, 6.8322, 6.8322 Å; angles 90.00, 90.00, 90.00 degrees
Closest atoms and distances in Å follow each position.
Element x y z (fractional)
1 Cs 0.0000 0.5000 0.0000  2 Y 3.42
2 Cs 0.0000 0.0000 0.5000  2 Y 3.42
3 Cs 0.5000 0.0000 0.0000  2 Y 3.42
4 Y 0.0000 0.0000 0.0000  6 Cs 3.42
5 Ir 0.5000 0.5000 0.5000  12 Cs 4.83

Summary:
SG: Pm-3m (221)
DOS at the Fermi energy in states/eV per cell: 13.67
Final energy in eV per cell: -9.2
E_form in kJ/mol of atoms: 167.55

Here is a geometry-optimized TaZn2InB structure from the Alexandria database. Energies are from GGA-PBE.

Cell lengths 4.9973, 4.0364, 4.9973 Å; angles 90.00, 90.00, 90.00 degrees
Closest atoms and distances in Å follow each position.
Element x y z (fractional)
1 Zn 0.0000 0.0000 0.5000  2 In 2.50
2 Zn 0.5000 0.0000 0.0000  2 In 2.50
3 In 0.0000 0.0000 0.0000  2 B 2.02
4 B 0.0000 0.5000 0.0000  2 In 2.02
5 Ta 0.5000 0.5000 0.5000  8 Zn 3.21, 4 B 3.53

Summary:
SG: P4/mmm (123)
DOS at the Fermi energy in states/eV per cell: 3.20
Final energy in eV per cell: -15.3
E_form in kJ/mol of atoms: 164.15

Here is a geometry-optimized KAg2IO6 structure from the Alexandria database. Energies are from GGA-PBE.

Cell lengths 6.3096, 6.3096, 6.3096 Å; angles 53.60, 53.60, 53.60 degrees
Closest atoms and distances in Å follow each position.
Element x y z (fractional)
1 K 0.4860 0.4860 0.4860  3 O 2.59
2 Ag 0.2077 0.2077 0.2077  6 O 2.38-2.45
3 Ag 0.6859 0.6859 0.6859  6 O 2.22-2.34
4 I 0.0124 0.0124 0.0124  6 O 1.92-1.93
5 O 0.3761 0.0294 0.8579  1 I 1.93
6 O 0.0294 0.8579 0.3761  1 I 1.93
7 O 0.9462 0.2344 0.6645  1 I 1.92
8 O 0.6645 0.9462 0.2344  1 I 1.92
9 O 0.8579 0.3761 0.0294  1 I 1.93
10 O 0.2344 0.6645 0.9462  1 I 1.92

Summary:
SG: R3 (146)
E_form (uncorrected) in kcal/mol of atoms: -9.42
DOS at the Fermi energy in states/eV per cell: 5.34
Final energy in eV per cell: -42.2

Here is a geometry-optimized Mg4CdPd2 structure from the Alexandria database. Energies are from GGA-PBE.

Cell lengths 7.3015, 6.5598, 9.1792 Å; angles 135.47, 107.90, 90.11 degrees
Closest atoms and distances in Å follow each position.
Element x y z (fractional)
1 Mg 0.8622 0.9935 0.1325  4 Pd 2.70-2.86, 2 Cd 2.90-2.93
2 Mg 0.3890 0.7866 0.3990  4 Pd 2.69-2.82, 2 Cd 2.90-2.97
3 Mg 0.8614 0.5019 0.6401  4 Pd 2.70-2.86, 2 Cd 2.89-2.94
4 Mg 0.8621 0.0288 0.6402  4 Pd 2.70-2.86, 2 Cd 2.89-2.93
5 Mg 0.3887 0.2623 0.3997  4 Pd 2.69-2.81, 2 Cd 2.90-2.97
6 Mg 0.3896 0.2882 0.9006  4 Pd 2.69-2.81, 2 Cd 2.90-2.98
7 Mg 0.3897 0.7630 0.9009  4 Pd 2.70-2.82, 2 Cd 2.90-2.98
8 Mg 0.8610 0.5208 0.1317  4 Pd 2.71-2.86, 2 Cd 2.90-2.94
9 Cd 0.1132 0.6373 0.5119  8 Mg 2.89-2.98, 2 Cd 3.22, 1 Pd 3.22
10 Cd 0.1312 0.1458 0.0208  8 Mg 2.90-2.94, 1 Pd 3.21, 2 Cd 3.22
11 Pd 0.6170 0.3878 0.7631  8 Mg 2.69-2.74
12 Pd 0.6339 0.8986 0.2732  8 Mg 2.70-2.76
13 Pd 0.6213 0.3904 0.2655  8 Mg 2.80-2.86
14 Pd 0.1298 0.1450 0.5206  8 Mg 2.81-2.86

Summary:
SG: P1 (1)
DOS at the Fermi energy in states/eV per cell: 4.69
Final energy in eV per cell: -41.2
E_form in kJ/mol of atoms: -40.46
ΔE to the lowest computed polymorph in meV/atom: 0

Here is a geometry-optimized Tb4ZnCo structure from the Alexandria database. Energies are from GGA-PBE.

Cell lengths 4.5409, 5.2694, 6.9535 Å; angles 78.68, 90.00, 90.00 degrees
Closest atoms and distances in Å follow each position.
Element x y z (fractional)
1 Tb 0.5013 0.9271 0.2705  2 Co 2.83
2 Tb 0.5013 0.0676 0.7248  2 Co 2.83
3 Tb 0.0013 0.5654 0.7259  1 Co 2.50
4 Tb 0.0013 0.4292 0.2713  1 Co 2.50
5 Zn 0.5013 0.4976 0.9984  8 Tb 2.93-3.23
6 Co 0.0013 0.9968 0.4979  2 Tb 2.50

Summary:
SG: Pm (6)
DOS at the Fermi energy in states/eV per cell: 6.27
Final energy in eV per cell: -27.1
E_form in kJ/mol of atoms: -3.02
ΔE to the lowest computed polymorph in meV/atom: 193

Here is a geometry-optimized V2Cr8Fe structure from the Alexandria database. Energies are from GGA-PBE.

Cell lengths 2.8691, 6.4037, 7.4443 Å; angles 74.87, 78.89, 90.00 degrees
Closest atoms and distances in Å follow each position.
Element x y z (fractional)
1 V 0.2745 0.3613 0.4197  6 Cr 2.48-2.51, 2 V 2.54
2 V 0.7245 0.6392 0.5197  6 Cr 2.48-2.51, 2 V 2.54
3 Cr 0.9111 0.5533 0.1465  6 Cr 2.43-2.50, 2 V 2.50
4 Cr 0.1784 0.9098 0.6119  6 Cr 2.44-2.54, 2 V 2.48
5 Cr 0.3636 0.8225 0.2416  4 Cr 2.44-2.48, 2 Fe 2.47, 2 V 2.51
6 Cr 0.4553 0.2755 0.0581  6 Cr 2.43-2.50, 2 Fe 2.49
7 Cr 0.6355 0.1780 0.6978  4 Cr 2.44-2.48, 2 Fe 2.47, 2 V 2.51
8 Cr 0.8206 0.0907 0.3275  6 Cr 2.44-2.54, 2 V 2.48
9 Cr 0.0879 0.4472 0.7929  6 Cr 2.43-2.50, 2 V 2.50
10 Cr 0.5437 0.7250 0.8813  6 Cr 2.43-2.50, 2 Fe 2.49
11 Fe 0.9995 0.0003 0.9697  8 Cr 2.47-2.49

Summary:
SG: C2/m (12)
DOS at the Fermi energy in states/eV per cell: 9.29
Final energy in eV per cell: -103.8
E_form in kJ/mol of atoms: -0.95

Here is a geometry-optimized Ta3Tc2 structure from the Alexandria database. Energies are from GGA-PBE.

Cell lengths 10.8690, 10.8690, 10.8690 Å; angles 16.02, 16.02, 16.02 degrees
Closest atoms and distances in Å follow each position.
Element x y z (fractional)
1 Ta 0.0000 0.0000 0.0000  6 Tc 2.73, 6 Ta 3.03
2 Ta 0.7971 0.7971 0.7971  3 Tc 2.73, 9 Ta 2.92-3.03
3 Ta 0.2029 0.2029 0.2029  3 Tc 2.73, 9 Ta 2.92-3.03
4 Tc 0.6015 0.6015 0.6015  6 Ta 2.73, 6 Tc 3.03
5 Tc 0.3985 0.3985 0.3985  6 Ta 2.73, 6 Tc 3.03

Summary:
SG: R-3m (166)
DOS at the Fermi energy in states/eV per cell: 3.30
Final energy in eV per cell: -56.2
E_form in kJ/mol of atoms: 1.28
ΔE to the lowest computed polymorph in meV/atom: 425